No. 1
Compound: Na2DyZr2S6
Source: the Alexandria database
Functional: GGA-PBE
Structure: optimized geometry

Results
final energy = -67.0 eV for the cell shown
formation energy without anion corrections = -156.9 kJ per mole of atoms

abc: 6.552 6.552 7.178
angles: 98.57 98.57 120.36
Sites, in units of the cell vectors:
1 Na 0.164 0.836 0.000
2 Na 0.836 0.164 0.000
3 Zr 0.666 0.334 0.500
4 Zr 0.334 0.666 0.500
5 S 0.070 0.418 0.720
6 S 0.275 0.275 0.279
7 S 0.725 0.725 0.721
8 S 0.418 0.070 0.720
9 S 0.930 0.582 0.280
10 S 0.582 0.930 0.280
11 Dy 0.000 0.000 0.500


No. 2
Compound: Na4Dy3SbSe8
Source: the Alexandria database
Functional: GGA-PBE
Structure: optimized geometry

Results
final energy = -74.1 eV for the cell shown
formation energy without anion corrections = -139.0 kJ per mole of atoms

abc: 8.316 8.492 8.315
angles: 119.34 120.00 90.00
Sites, in units of the cell vectors:
1 Se 0.756 0.271 0.513
2 Se 0.244 0.729 0.487
3 Se 0.756 0.271 0.014
4 Se 0.257 0.271 0.514
5 Se 0.743 0.729 0.486
6 Se 0.258 0.271 0.014
7 Se 0.244 0.729 0.986
8 Se 0.742 0.729 0.986
9 Sb 0.000 0.500 0.000
10 Na 0.500 0.000 0.500
11 Na 0.000 0.000 0.500
12 Na 0.500 0.000 0.000
13 Na 0.000 0.000 0.000
14 Dy 0.500 0.500 0.000
15 Dy 0.000 0.500 0.500
16 Dy 0.500 0.500 0.500